1.
The following is a PBE calculation of crystalline CsZn2In10 at its relaxed geometry, from Alexandria via LeMat-Bulk.

The structure in POSCAR format:
```
CsZn2In10
1.0
1.285 2.396 5.188
-5.409 -3.838 6.418
5.517 -3.818 3.703
Cs Zn In
1 2 10
Direct
0.000 0.000 0.000 Cs
0.000 0.500 0.000 Zn
0.500 0.500 0.000 Zn
0.356 0.631 0.658 In
0.644 0.369 0.342 In
0.986 0.369 0.658 In
0.014 0.631 0.342 In
0.000 0.000 0.500 In
0.500 0.000 0.500 In
0.264 0.252 0.220 In
0.736 0.748 0.780 In
0.516 0.748 0.220 In
0.484 0.252 0.780 In
```

- ΔH_f (0 K) (eV per atom) = 0.01

***

2.
The following is a PBE calculation of crystalline Pa3Zn5O12 at its relaxed geometry, from Alexandria via LeMat-Bulk.

The structure in POSCAR format:
```
Pa3Zn5O12
1.0
-0.726 4.909 9.720
-8.947 2.182 -5.855
0.873 -10.784 1.427
Pa Zn O
12 20 48
Direct
0.750 0.375 0.125 Pa
0.875 0.750 0.125 Pa
0.375 0.750 0.625 Pa
0.250 0.125 0.375 Pa
0.875 0.125 0.250 Pa
0.375 0.625 0.250 Pa
0.625 0.375 0.750 Pa
0.125 0.875 0.750 Pa
0.750 0.875 0.625 Pa
0.625 0.250 0.375 Pa
0.125 0.250 0.875 Pa
0.250 0.625 0.875 Pa
0.125 0.375 0.250 Zn
0.000 0.500 0.000 Zn
0.000 0.000 0.000 Zn
0.375 0.250 0.125 Zn
0.500 0.000 0.500 Zn
0.500 0.500 0.000 Zn
0.125 0.750 0.375 Zn
0.750 0.125 0.875 Zn
0.750 0.625 0.375 Zn
0.375 0.125 0.750 Zn
0.625 0.875 0.250 Zn
0.500 0.500 0.500 Zn
0.500 0.000 0.000 Zn
0.000 0.000 0.500 Zn
0.250 0.375 0.625 Zn
0.250 0.875 0.125 Zn
0.000 0.500 0.500 Zn
0.875 0.250 0.625 Zn
0.625 0.750 0.875 Zn
0.875 0.625 0.750 Zn
0.719 0.133 0.044 O
0.325 0.544 0.411 O
0.956 0.367 0.281 O
0.544 0.219 0.133 O
0.586 0.719 0.675 O
0.956 0.589 0.175 O
0.325 0.781 0.414 O
0.089 0.914 0.133 O
0.589 0.956 0.675 O
0.719 0.586 0.175 O
0.781 0.456 0.367 O
0.825 0.911 0.044 O
0.133 0.719 0.544 O
0.367 0.411 0.086 O
0.086 0.911 0.367 O
0.414 0.133 0.589 O
0.086 0.175 0.219 O
0.456 0.675 0.089 O
0.825 0.914 0.281 O
0.133 0.414 0.089 O
0.367 0.956 0.781 O
0.589 0.633 0.414 O
0.911 0.825 0.544 O
0.781 0.325 0.914 O
0.411 0.367 0.586 O
0.089 0.175 0.456 O
0.219 0.675 0.086 O
0.175 0.086 0.719 O
0.633 0.044 0.219 O
0.867 0.586 0.911 O
0.544 0.325 0.911 O
0.586 0.867 0.411 O
0.914 0.825 0.781 O
0.914 0.089 0.633 O
0.867 0.281 0.456 O
0.175 0.089 0.956 O
0.633 0.589 0.914 O
0.411 0.044 0.325 O
0.281 0.414 0.825 O
0.219 0.544 0.633 O
0.911 0.086 0.867 O
0.675 0.219 0.586 O
0.456 0.781 0.867 O
0.044 0.411 0.825 O
0.414 0.281 0.325 O
0.044 0.633 0.719 O
0.675 0.456 0.589 O
0.281 0.867 0.956 O
```

- uncorrected formation energy (eV/atom) = -2.415

***

3.
The following is a PBE calculation of crystalline PrThAgGe at its relaxed geometry, from Alexandria via LeMat-Bulk.

The structure in POSCAR format:
```
PrThAgGe
1.0
-4.705 0.847 2.200
-3.618 -3.821 0.027
-1.264 -2.395 4.513
Pr Ge Ag Th
1 1 1 1
Direct
0.500 0.500 0.500 Pr
0.750 0.750 0.750 Ge
0.250 0.250 0.250 Ag
0.000 0.000 0.000 Th
```

- ΔH_f (0 K) (eV per atom) = -0.38

***

4.
The following is a PBE calculation of crystalline Dy2Co3Os at its relaxed geometry, from Alexandria via LeMat-Bulk.

The structure in POSCAR format:
```
Dy2Co3Os
1.0
-2.925 0.538 -4.237
3.022 -4.166 0.555
-2.140 -0.961 4.520
Dy Co Os
2 3 1
Direct
0.747 0.374 0.121 Dy
0.253 0.626 0.879 Dy
0.500 0.500 0.500 Co
0.000 0.000 0.500 Co
0.500 0.000 0.500 Co
0.000 0.000 0.000 Os
```

- ΔH_f (0 K) (eV per atom) = -0.23

***

5.
The following is a PBE calculation of crystalline SbPRh2 at its relaxed geometry, from Alexandria via LeMat-Bulk.

The structure in POSCAR format:
```
SbPRh2
1.0
-1.891 1.891 4.473
1.891 -1.891 4.473
1.891 1.891 -4.473
Sb P Rh
1 1 2
Direct
0.500 0.500 0.000 Sb
0.750 0.250 0.500 P
0.000 0.000 0.000 Rh
0.250 0.750 0.500 Rh
```

- uncorrected formation energy (eV/atom) = -0.046
- ΔE to the lowest computed polymorph (kJ/mol of atoms) = 38.7

***

6.
The following is a PBE calculation of crystalline MnTlCl4 at its relaxed geometry, from Alexandria via LeMat-Bulk.

The structure in POSCAR format:
```
MnTlCl4
1.0
0.000 4.307 4.307
4.307 0.000 4.307
4.307 4.307 0.000
Mn Tl Cl
1 1 4
Direct
0.750 0.750 0.750 Mn
0.000 0.000 0.000 Tl
0.375 0.874 0.375 Cl
0.874 0.375 0.375 Cl
0.375 0.375 0.874 Cl
0.375 0.375 0.375 Cl
```

- uncorrected formation energy (eV/atom) = 0.272
- ΔE to the lowest computed polymorph (kJ/mol of atoms) = 119.8

***

Here are the calculated size of the total moment numbers, same order: 0.0, 4.5, 0.0, 2.4, 0.0, 7.6 (μB per cell).
Here are the calculated total energy numbers, same order: -0.1735, -0.5243, -0.3890, -0.5280, -0.4487, -0.2118 (Ry/atom).